i) Computed, not measured: TcSb2Br after structural relaxation at the PBE level of DFT.

Output
Its space group is No. 8. As for the crystal system: monoclinic.

Cell and atoms, written as CIF:
```
data_TcSb2Br
_chemical_formula_sum 'Tc1 Sb2 Br1'
_cell_length_a 5.071
_cell_length_b 5.071
_cell_length_c 6.854
_cell_angle_alpha 71.95
_cell_angle_beta 71.95
_cell_angle_gamma 39.60
_symmetry_space_group_name_H-M 'P 1'
_symmetry_Int_Tables_number 1
loop_
_symmetry_equiv_pos_as_xyz
'x,y,z'
loop_
_atom_site_label
_atom_site_type_symbol
_atom_site_fract_x
_atom_site_fract_y
_atom_site_fract_z
Sb1 Sb 0.023 0.023 0.055
Sb2 Sb 0.184 0.184 0.365
Br1 Br 0.824 0.824 0.703
Tc1 Tc 0.470 0.470 0.377
```


ii) Computed, not measured: TcSb2Br after structural relaxation at the PBE level of DFT.

Output
Its space group is No. 122. As for the crystal system: tetragonal.

Cell and atoms, written as CIF:
```
data_TcSb2Br
_chemical_formula_sum 'Tc2 Sb4 Br2'
_cell_length_a 6.616
_cell_length_b 6.616
_cell_length_c 7.789
_cell_angle_alpha 64.87
_cell_angle_beta 64.87
_cell_angle_gamma 90.00
_symmetry_space_group_name_H-M 'P 1'
_symmetry_Int_Tables_number 1
loop_
_symmetry_equiv_pos_as_xyz
'x,y,z'
loop_
_atom_site_label
_atom_site_type_symbol
_atom_site_fract_x
_atom_site_fract_y
_atom_site_fract_z
Sb1 Sb 0.713 0.125 0.250
Sb2 Sb 0.037 0.625 0.250
Sb3 Sb 0.375 0.287 0.750
Sb4 Sb 0.875 0.963 0.750
Br1 Br 0.250 0.750 0.500
Br2 Br 0.500 0.500 0.000
Tc1 Tc 0.750 0.250 0.500
Tc2 Tc 0.000 0.000 0.000
```


Tell me which of them is the most stable. Sure, it is i).


i) Computed, not measured: TcSb2Br after structural relaxation at the PBE level of DFT.

Output
Its space group is No. 47. As for the crystal system: orthorhombic.

Cell and atoms, written as CIF:
```
data_TcSb2Br
_chemical_formula_sum 'Tc1 Sb2 Br1'
_cell_length_a 3.288
_cell_length_b 5.626
_cell_length_c 4.995
_cell_angle_alpha 90.00
_cell_angle_beta 90.00
_cell_angle_gamma 90.00
_symmetry_space_group_name_H-M 'P 1'
_symmetry_Int_Tables_number 1
loop_
_symmetry_equiv_pos_as_xyz
'x,y,z'
loop_
_atom_site_label
_atom_site_type_symbol
_atom_site_fract_x
_atom_site_fract_y
_atom_site_fract_z
Br1 Br 0.000 0.500 0.500
Tc1 Tc 0.500 0.000 0.500
Sb1 Sb 0.000 0.000 0.000
Sb2 Sb 0.500 0.500 0.000
```


ii) Computed, not measured: TcSb2Br after structural relaxation at the PBE level of DFT.

Output
Its space group is No. 12. As for the crystal system: monoclinic.

Cell and atoms, written as CIF:
```
data_TcSb2Br
_chemical_formula_sum 'Tc1 Sb2 Br1'
_cell_length_a 5.682
_cell_length_b 5.682
_cell_length_c 3.198
_cell_angle_alpha 72.13
_cell_angle_beta 72.13
_cell_angle_gamma 86.18
_symmetry_space_group_name_H-M 'P 1'
_symmetry_Int_Tables_number 1
loop_
_symmetry_equiv_pos_as_xyz
'x,y,z'
loop_
_atom_site_label
_atom_site_type_symbol
_atom_site_fract_x
_atom_site_fract_y
_atom_site_fract_z
Tc1 Tc 0.500 0.000 0.500
Br1 Br 0.000 0.500 0.500
Sb1 Sb 0.500 0.500 0.000
Sb2 Sb 0.000 0.000 0.000
```


Tell me which of them is the most stable. Sure, it is ii).